The following is a DFT calculation (PBE) of crystalline Pm6CdGa2 at its relaxed geometry.

Computed properties:
- Energy above the most stable polymorph in this dataset: 0 meV/atom
- Calculated volume: 534.46 Å³ per cell
- Electronic total energy: -4.271 eV per atom
- Energy of formation from the pure elements: -0.329 eV per atom
- Space-group type: No. 71

a b c (Å): 8.865 8.865 8.865
angles (deg): 111.50 111.37 105.61
Positions (direct):
Pm1 0.030 0.823 0.207
Pm2 0.244 0.542 0.298
Pm3 0.244 0.946 0.702
Pm4 0.276 0.320 0.596
Pm5 0.276 0.680 0.956
Pm6 0.384 0.177 0.207
Pm7 0.616 0.823 0.793
Pm8 0.724 0.320 0.044
Pm9 0.724 0.680 0.404
Pm10 0.756 0.054 0.298
Pm11 0.756 0.458 0.702
Pm12 0.970 0.177 0.793
Cd1 0.000 0.500 0.500
Cd2 0.500 0.000 0.500
Ga1 0.000 0.143 0.143
Ga2 0.000 0.857 0.857
Ga3 0.379 0.379 0.000
Ga4 0.621 0.621 0.000

---

The following is a DFT calculation (PBE) of crystalline Pm4Cd3Ga at its relaxed geometry.

Computed properties:
- Energy above the most stable polymorph in this dataset: 53 meV/atom
- Calculated volume: 220.51 Å³ per cell
- Electronic total energy: -3.423 eV per atom
- Energy of formation from the pure elements: -0.326 eV per atom
- Space-group type: No. 25

a b c (Å): 3.674 4.870 12.324
angles (deg): 90.00 90.00 90.00
Positions (direct):
Pm1 0.000 0.000 0.000
Pm2 0.000 0.500 0.303
Pm3 0.500 0.000 0.486
Pm4 0.500 0.500 0.812
Cd1 0.000 0.000 0.721
Cd2 0.000 0.500 0.579
Cd3 0.500 0.500 0.083
Ga1 0.500 0.000 0.227

---

The following is a DFT calculation (PBE) of crystalline Pm3Cd7Ga2 at its relaxed geometry.

Computed properties:
- Calculated volume: 287.52 Å³ per cell
- Electronic total energy: -2.480 eV per atom
- Energy of formation from the pure elements: -0.254 eV per atom
- Space-group type: No. 166

a b c (Å): 9.964 9.964 9.964
angles (deg): 34.80 34.80 34.80
Positions (direct):
Pm1 0.000 0.000 0.000
Pm2 0.142 0.142 0.142
Pm3 0.858 0.858 0.858
Cd1 0.076 0.585 0.585
Cd2 0.415 0.415 0.924
Cd3 0.415 0.924 0.415
Cd4 0.500 0.500 0.500
Cd5 0.585 0.076 0.585
Cd6 0.585 0.585 0.076
Cd7 0.924 0.415 0.415
Ga1 0.335 0.335 0.335
Ga2 0.665 0.665 0.665

---

The following is a DFT calculation (PBE) of crystalline Pm3Cd4Ga4 at its relaxed geometry.

Computed properties:
- Calculated volume: 252.89 Å³ per cell
- Electronic total energy: -3.182 eV per atom
- Energy of formation from the pure elements: -0.453 eV per atom
- Space-group type: No. 71

a b c (Å): 8.707 8.707 8.707
angles (deg): 149.71 130.03 59.56
Positions (direct):
Pm1 0.000 0.000 0.000
Pm2 0.378 0.878 0.500
Pm3 0.622 0.122 0.500
Cd1 0.028 0.334 0.695
Cd2 0.361 0.666 0.695
Cd3 0.639 0.334 0.305
Cd4 0.972 0.666 0.305
Ga1 0.219 0.219 0.000
Ga2 0.322 0.500 0.822
Ga3 0.678 0.500 0.178
Ga4 0.781 0.781 0.000

---

The following is a DFT calculation (PBE) of crystalline PmCd2Ga at its relaxed geometry.

Computed properties:
- Calculated volume: 95.11 Å³ per cell
- Electronic total energy: -2.755 eV per atom
- Energy of formation from the pure elements: -0.353 eV per atom
- Space-group type: No. 123

a b c (Å): 4.409 4.409 4.892
angles (deg): 90.00 90.00 90.00
Positions (direct):
Pm1 0.000 0.000 0.000
Cd1 0.000 0.500 0.500
Cd2 0.500 0.000 0.500
Ga1 0.500 0.500 0.000

---

The following is a DFT calculation (PBE) of crystalline Pm8CdGa2 at its relaxed geometry.

Computed properties:
- Energy above the most stable polymorph in this dataset: 4 meV/atom
- Calculated volume: 325.91 Å³ per cell
- Electronic total energy: -4.323 eV per atom
- Energy of formation from the pure elements: -0.234 eV per atom
- Space-group type: No. 12

a b c (Å): 9.136 9.136 7.930
angles (deg): 108.42 108.42 31.42
Positions (direct):
Pm1 0.044 0.044 0.242
Pm2 0.179 0.179 0.772
Pm3 0.325 0.325 0.555
Pm4 0.403 0.403 0.041
Pm5 0.597 0.597 0.959
Pm6 0.675 0.675 0.445
Pm7 0.821 0.821 0.228
Pm8 0.956 0.956 0.758
Cd1 0.500 0.500 0.500
Ga1 0.207 0.207 0.177
Ga2 0.793 0.793 0.823

---

The following is a DFT calculation (PBE) of crystalline Pm7Cd2Ga2 at its relaxed geometry.

Computed properties:
- Calculated volume: 340.54 Å³ per cell
- Electronic total energy: -3.780 eV per atom
- Energy of formation from the pure elements: -0.040 eV per atom
- Space-group type: No. 65

a b c (Å): 6.591 6.591 8.319
angles (deg): 90.00 90.00 109.56
Positions (direct):
Pm1 0.000 0.000 0.000
Pm2 0.000 0.500 0.298
Pm3 0.000 0.500 0.702
Pm4 0.500 0.000 0.298
Pm5 0.500 0.000 0.702
Pm6 0.500 0.500 0.287
Pm7 0.500 0.500 0.713
Cd1 0.305 0.695 0.000
Cd2 0.695 0.305 0.000
Ga1 0.166 0.166 0.500
Ga2 0.834 0.834 0.500

---

The following is a DFT calculation (PBE) of crystalline Pm2CdGa12 at its relaxed geometry.

Computed properties:
- Calculated volume: 617.56 Å³ per cell
- Electronic total energy: -3.371 eV per atom
- Energy of formation from the pure elements: -0.255 eV per atom
- Space-group type: No. 125

a b c (Å): 6.313 6.313 15.497
angles (deg): 90.00 90.00 90.00
Positions (direct):
Pm1 0.250 0.750 0.247
Pm2 0.250 0.750 0.753
Pm3 0.750 0.250 0.247
Pm4 0.750 0.250 0.753
Cd1 0.250 0.750 0.500
Cd2 0.750 0.250 0.500
Ga1 0.001 0.501 0.400
Ga2 0.001 0.999 0.600
Ga3 0.080 0.580 0.931
Ga4 0.080 0.920 0.069
Ga5 0.250 0.250 0.152
Ga6 0.250 0.250 0.311
Ga7 0.250 0.250 0.689
Ga8 0.250 0.250 0.848
Ga9 0.420 0.580 0.069
Ga10 0.420 0.920 0.931
Ga11 0.499 0.501 0.600
Ga12 0.499 0.999 0.400
Ga13 0.501 0.001 0.600
Ga14 0.501 0.499 0.400
Ga15 0.580 0.080 0.069
Ga16 0.580 0.420 0.931
Ga17 0.750 0.750 0.152
Ga18 0.750 0.750 0.311
Ga19 0.750 0.750 0.689
Ga20 0.750 0.750 0.848
Ga21 0.920 0.080 0.931
Ga22 0.920 0.420 0.069
Ga23 0.999 0.001 0.400
Ga24 0.999 0.499 0.600